A geometry-optimized CeDy6Ho2 structure. Source: Alexandria via LeMat-Bulk, functional PBE.

The space group is R3m (No. 160, hexagonal axes) and the conventional cell measures 7.2527, 7.2527 and 18.8757 Å, with angles of 90.00, 90.00 and 120.00 degrees. Symmetry generates all atoms from Ce at (0.0000, 0.0000, 0.0000), Dy at (0.0113, 0.5057, 0.4472), Dy at (0.0362, 0.5181, 0.2534), Ho at (0.0000, 0.0000, 0.2607) and Ho at (0.0000, 0.0000, 0.4380).

As for the density of states at the Fermi level: 0.9721 states/eV/atom. For the energy above the most stable polymorph in this dataset, the calculation gives 176 meV per atom. As for the volume: 859.9 Å³/cell. The calculation puts the formation enthalpy at 0 K at 0.303 eV per atom.


A geometry-optimized Ce2Dy4Ho5 structure. Source: Alexandria via LeMat-Bulk, functional PBE.

The space group is C2/m (No. 12) and the conventional cell measures 23.3161, 3.5566 and 8.9644 Å, with angles of 90.00, 111.56 and 90.00 degrees. Symmetry generates all atoms from Ce at (0.2380, 0.0000, 0.1036), Dy at (0.0451, 0.5000, 0.3870), Dy at (0.1857, 0.0000, 0.5496), Ho at (0.0000, 0.0000, 0.0000), Ho at (0.1089, 0.5000, 0.8009) and Ho at (0.1362, 0.5000, 0.1942).

As for the density of states at the Fermi level: 1.6755 states/eV/atom. As for the volume: 691.4 Å³/cell. The calculation puts the formation enthalpy at 0 K at 0.147 eV per atom.


A geometry-optimized CeDyHo2 structure. Source: Alexandria via LeMat-Bulk, functional PBE.

The space group is P4/mmm (No. 123) and the conventional cell measures 4.9793, 4.9793 and 4.9722 Å, with angles of 90.00, 90.00 and 90.00 degrees. Symmetry generates all atoms from Ce at (0.0000, 0.0000, 0.0000), Dy at (0.5000, 0.5000, 0.0000) and Ho at (0.0000, 0.5000, 0.5000).

As for the density of states at the Fermi level: 1.6164 states/eV/atom. For the energy above the most stable polymorph in this dataset, the calculation gives 40 meV per atom. As for the volume: 123.3 Å³/cell. The calculation puts the formation enthalpy at 0 K at 0.065 eV per atom.


A geometry-optimized Ce2DyHo7 structure. Source: Alexandria via LeMat-Bulk, functional PBE.

The space group is C2/m (No. 12) and the conventional cell measures 18.0097, 5.3794 and 6.9846 Å, with angles of 90.00, 112.78 and 90.00 degrees. Symmetry generates all atoms from Ce at (0.1985, 0.0000, 0.1987), Dy at (0.0000, 0.0000, 0.5000), Ho at (0.0000, 0.0000, 0.0000), Ho at (0.1072, 0.5000, 0.3583), Ho at (0.1069, 0.5000, 0.8562) and Ho at (0.2017, 0.0000, 0.7022).

As for the density of states at the Fermi level: 2.2182 states/eV/atom. As for the volume: 623.9 Å³/cell. The calculation puts the formation enthalpy at 0 K at 0.104 eV per atom.


A geometry-optimized CeDy4Ho5 structure. Source: Alexandria via LeMat-Bulk, functional PBE.

The space group is C2/m (No. 12) and the conventional cell measures 17.6204, 3.4564 and 10.7879 Å, with angles of 90.00, 107.25 and 90.00 degrees. Symmetry generates all atoms from Ce at (0.0000, 0.0000, 0.0000), Dy at (0.0932, 0.5000, 0.8062), Dy at (0.1962, 0.0000, 0.0833), Ho at (0.0000, 0.0000, 0.5000), Ho at (0.1054, 0.5000, 0.2866) and Ho at (0.2071, 0.5000, 0.5990).

As for the density of states at the Fermi level: 1.7698 states/eV/atom. For the energy above the most stable polymorph in this dataset, the calculation gives 0 meV per atom. As for the volume: 627.5 Å³/cell. The calculation puts the formation enthalpy at 0 K at 0.113 eV per atom.


A geometry-optimized CeDyHo2 structure. Source: Alexandria via LeMat-Bulk, functional PBE.

The space group is R3m (No. 160, hexagonal axes) and the conventional cell measures 3.5179, 3.5179 and 34.4828 Å, with angles of 90.00, 90.00 and 120.00 degrees. Symmetry generates all atoms from Ce at (0.0000, 0.0000, 0.0000), Dy at (0.0000, 0.0000, 0.8343), Ho at (0.0000, 0.0000, 0.2505) and Ho at (0.0000, 0.0000, 0.4176).

As for the density of states at the Fermi level: 1.8792 states/eV/atom. For the energy above the most stable polymorph in this dataset, the calculation gives 30 meV per atom. As for the volume: 369.6 Å³/cell. The calculation puts the formation enthalpy at 0 K at 0.056 eV per atom.